Here is an optimized crystal structure of PuZrIr from Alexandria. Energies are from PBE.

Computed properties:
Its crystal system is monoclinic. The value obtained for the total energy is -0.3987 hartree per atom. The calculation puts the formation energy at -0.2692 eV/atom. For the density of states at the Fermi level, the calculation gives 7.4 states/eV/f.u. For the polymorph energy (0 for the lowest one), the calculation gives 0.12 eV per formula unit.

```
data_PuZrIr
_space_group_name_H-M_alt 'P 1 21/c 1'
_space_group_IT_number 14
_space_group_name_Hall '-P 2ybc'
_cell_length_a 5.9723
_cell_length_b 6.7420
_cell_length_c 7.8781
_cell_angle_alpha 90.00
_cell_angle_beta 122.14
_cell_angle_gamma 90.00
loop_
_atom_site_label
_atom_site_fract_x
_atom_site_fract_y
_atom_site_fract_z
Pu1 0.2254 0.1662 0.0798
Zr1 0.2529 0.6376 0.9495
Ir1 0.2630 0.5158 0.2815
```